The following is a SCAN calculation of a crystal of Ta2FeBr relaxed with PBEsol, from Alexandria via LeMat-Bulk.

a b c (Å): 4.507 4.507 4.507
angles (deg): 60.00 60.00 60.00
Fractional positions:
Ta1 0.000 0.000 0.000
Ta2 0.250 0.250 0.250
Fe1 0.500 0.500 0.500
Br1 0.750 0.750 0.750

Values from the calculation:
Final energy: -41.577 eV/atom
Theoretical density: 12.765 g/cm3
Symmetry: F-43m (216)
Spin magnetization: 3.49 μB per formula unit